Entry 1:
Ac4GdY GGA-PBE relaxed; total magnetization = 1.280 μB/atom; D(E_F) = 12.8 states/eV/f.u.; formation enthalpy at 0 K = 0.348 eV per atom; DFT total energy = -5.82 eV per atom
1.0
7.1633 0.0000 0.0000
3.5816 6.2036 0.0000
3.5816 2.0679 5.8488
Ac Gd Y
4 1 1
Cartesian
8.9607 5.1735 3.6582
7.1633 2.0602 3.6582
5.3659 5.1735 3.6582
7.1633 4.1357 0.7230
3.5816 2.0679 1.4622
0.0000 0.0000 0.0000



Entry 2:
AcGdY GGA-PBE relaxed; total magnetization = 2.500 μB/atom; D(E_F) = 4.7 states/eV/f.u.; formation enthalpy at 0 K = 0.048 eV per atom; DFT total energy = -8.17 eV per atom
1.0
3.7516 0.0000 0.0000
-1.8758 3.2490 0.0000
0.0000 0.0000 8.9514
Ac Y Gd
1 1 1
Cartesian
0.0000 0.0000 8.9449
0.0000 2.1660 5.8996
1.8758 1.0830 3.0583



Entry 3:
Ac2GdZn GGA-PBE relaxed; total magnetization = 1.967 μB/atom; offset from the most stable computed form = 308 meV per atom; D(E_F) = 8.7 states/eV/f.u.; formation enthalpy at 0 K = 0.212 eV per atom; DFT total energy = -5.68 eV per atom
1.0
3.7624 0.0000 0.0000
1.8812 3.2583 0.0000
1.8812 1.0861 12.0347
Zn Ac Gd
1 2 1
Cartesian
3.7624 2.1722 6.0174
1.8812 1.0861 8.4473
5.6436 3.2583 3.5874
0.0000 0.0000 0.0000



Entry 4:
AcGdZn GGA-PBE relaxed; total magnetization = 2.531 μB/atom; offset from the most stable computed form = 0 meV per atom; D(E_F) = 2.9 states/eV/f.u.; formation enthalpy at 0 K = -0.176 eV per atom; DFT total energy = -6.66 eV per atom
1.0
-0.4172 -3.7033 0.7287
3.2531 0.0190 1.9587
-4.6328 3.2523 3.9821
Zn Gd Ac
1 1 1
Cartesian
0.2481 -1.3291 3.2817
-1.9432 0.8523 3.2193
-0.1017 0.0446 0.1685



Entry 5:
AcGdZn2 GGA-PBE relaxed; total magnetization = 1.982 μB/atom; D(E_F) = 4.7 states/eV/f.u.; formation enthalpy at 0 K = -0.064 eV per atom; DFT total energy = -5.25 eV per atom
1.0
-2.5664 2.7209 -0.9628
-3.7826 -0.7258 0.2852
-2.0621 3.7341 8.3026
Zn Ac Gd
2 1 1
Cartesian
-6.3073 4.3548 5.8798
-2.1038 1.3744 1.7453
-4.2055 2.8646 3.8125
0.0000 0.0000 0.0000



Entry 6:
Ac2GdZn GGA-PBE relaxed; total magnetization = 1.916 μB/atom; offset from the most stable computed form = 0 meV per atom; D(E_F) = 5.4 states/eV/f.u.; formation enthalpy at 0 K = -0.096 eV per atom; DFT total energy = -5.99 eV per atom
1.0
3.9032 0.0000 0.0000
0.0000 3.9032 0.0000
0.0000 0.0000 9.0746
Zn Ac Gd
1 2 1
Cartesian
1.9516 1.9516 0.0000
0.0000 0.0000 7.1350
0.0000 0.0000 1.9396
1.9516 1.9516 4.5373



formation enthalpy at 0 K of number 6 (Ac2GdZn)?
-0.096 eV per atom



What is the formula in the sixth record?
Ac2GdZn



What is the formula in the fourth record?
AcGdZn



The highest total magnetization belongs to which entry?
AcGdZn